# PmSm7Th3

Crystalline PmSm7Th3 at its relaxed geometry (PBE-GGA, the Alexandria database).

N(E_F): 15.46 states/eV/f.u.
total magnetization: 0.00 μB/f.u.
ΔH_f (0 K): 0.258 eV/atom
symmetry: C2/m

abc: 7.7882 7.7882 6.3658
angles: 95.07 95.07 81.90
Last column: nearest neighbours and their distance in Å.
Element x y z (fractional)
Pm 0.0000 0.0000 0.0000  4 Sm 3.18-3.48
Sm 0.0000 0.0000 0.5000  2 Pm 3.18, 2 Th 3.34
Sm 0.0772 0.4288 0.7617  6 Sm 3.33-3.70, 3 Th 3.51-3.60
Sm 0.2695 0.2695 0.2898  5 Sm 3.33-3.58, 3 Th 3.38-3.45, 1 Pm 3.48
Sm 0.4288 0.0772 0.7617  6 Sm 3.33-3.70, 3 Th 3.51-3.60
Sm 0.5712 0.9228 0.2383  6 Sm 3.33-3.70, 3 Th 3.51-3.60
Sm 0.7305 0.7305 0.7102  5 Sm 3.33-3.58, 3 Th 3.38-3.45, 1 Pm 3.48
Sm 0.9228 0.5712 0.2383  6 Sm 3.33-3.70, 3 Th 3.51-3.60
Th 0.3274 0.6726 0.5000  7 Sm 3.34-3.59, 3 Th 3.52-3.64
Th 0.5000 0.5000 0.0000  6 Sm 3.45-3.60, 4 Th 3.64
Th 0.6726 0.3274 0.5000  7 Sm 3.34-3.59, 3 Th 3.52-3.64